The following is a DFT calculation (PBE-GGA) of an optimized crystal structure of Pm8RuPt5.

Output
The total energy is -89.8 eV per cell. The value obtained for the energy of formation is -1187 kJ/mol of formula units. As for the volume: 25.433 A^3/atom.

Unit cell a=7.734 b=7.734 c=7.734 alpha=109.66 beta=109.10 gamma=109.66
Positions (direct):
Pt: 0.377 0.130 0.000
Pt: 0.753 0.623 0.623
Pt: 0.870 0.870 0.247
Pt: 0.000 0.377 0.130
Pt: 0.500 0.000 0.500
Pm: 0.616 0.862 0.867
Pm: 0.133 0.748 0.995
Pm: 0.752 0.249 0.375
Pm: 0.625 0.377 0.874
Pm: 0.246 0.252 0.384
Pm: 0.497 0.623 0.248
Pm: 0.005 0.138 0.754
Pm: 0.126 0.751 0.503
Ru: 0.250 0.500 0.750

***

The following is a DFT calculation (PBE-GGA) of an optimized crystal structure of Pm5RuPt2.

Output
The total energy is -101.5 eV per cell. The value obtained for the energy of formation is -543 kJ/mol of formula units. As for the volume: 26.411 A^3/atom.

Unit cell a=4.170 b=8.294 c=12.217 alpha=90.00 beta=90.00 gamma=90.00
Positions (direct):
Pm: 0.000 0.500 0.000
Pm: 0.500 0.678 0.412
Pm: 0.500 0.322 0.588
Pm: 0.000 0.660 0.700
Pm: 0.000 0.000 0.500
Pm: 0.000 0.340 0.300
Pm: 0.000 0.160 0.800
Pm: 0.000 0.840 0.200
Pm: 0.500 0.822 0.912
Pm: 0.500 0.178 0.088
Ru: 0.000 0.500 0.500
Ru: 0.000 0.000 0.000
Pt: 0.500 0.551 0.175
Pt: 0.500 0.051 0.325
Pt: 0.500 0.949 0.675
Pt: 0.500 0.449 0.825

***

The following is a DFT calculation (PBE-GGA) of an optimized crystal structure of Pm6Ru3Pt.

Output
The total energy is -130.6 eV per cell. The value obtained for the energy of formation is -284 kJ/mol of formula units. As for the volume: 26.367 A^3/atom.

Unit cell a=6.758 b=9.087 c=9.087 alpha=109.08 beta=90.00 gamma=90.00
Positions (direct):
Pm: 0.700 0.531 0.118
Pm: 0.659 0.253 0.747
Pm: 0.650 0.274 0.349
Pm: 0.150 0.726 0.651
Pm: 0.159 0.747 0.253
Pm: 0.700 0.882 0.469
Pm: 0.150 0.349 0.274
Pm: 0.650 0.651 0.726
Pm: 0.271 0.966 0.034
Pm: 0.200 0.469 0.882
Pm: 0.200 0.118 0.531
Pm: 0.771 0.034 0.966
Ru: 0.442 0.975 0.733
Ru: 0.379 0.414 0.586
Ru: 0.442 0.267 0.025
Ru: 0.942 0.733 0.975
Ru: 0.942 0.025 0.267
Ru: 0.879 0.586 0.414
Pt: 0.092 0.155 0.845
Pt: 0.592 0.845 0.155

***

The following is a DFT calculation (PBE-GGA) of an optimized crystal structure of Pm8Ru3Pt2.

Output
The total energy is -84.3 eV per cell. The value obtained for the energy of formation is -612 kJ/mol of formula units. As for the volume: 26.563 A^3/atom.

Unit cell a=4.940 b=9.924 c=8.619 alpha=125.18 beta=90.00 gamma=90.00
Positions (direct):
Pm: 0.500 0.631 0.760
Pm: 0.000 0.878 0.756
Pm: 0.500 0.871 0.240
Pm: 0.000 0.122 0.244
Pm: 0.000 0.380 0.761
Pm: 0.500 0.369 0.240
Pm: 0.000 0.620 0.239
Pm: 0.500 0.129 0.760
Pt: 0.500 0.749 0.497
Pt: 0.500 0.251 0.503
Ru: 0.000 0.751 0.000
Ru: 0.000 0.249 0.000
Ru: 0.500 0.000 0.000

***

The following is a DFT calculation (PBE-GGA) of an optimized crystal structure of Pm5RuPt4.

Output
The total energy is -66.3 eV per cell. The value obtained for the energy of formation is -880 kJ/mol of formula units. As for the volume: 22.668 A^3/atom.

Unit cell a=3.551 b=3.551 c=17.981 alpha=90.00 beta=90.00 gamma=90.00
Positions (direct):
Pm: 0.500 0.500 0.702
Pm: 0.500 0.500 0.298
Pm: 0.500 0.500 0.500
Pm: 0.500 0.500 0.096
Pm: 0.500 0.500 0.904
Pt: 0.000 0.000 0.801
Pt: 0.000 0.000 0.399
Pt: 0.000 0.000 0.199
Pt: 0.000 0.000 0.601
Ru: 0.000 0.000 0.000

***

The following is a DFT calculation (PBE-GGA) of an optimized crystal structure of Pm3Ru2Pt.

Output
The total energy is -41.7 eV per cell. The value obtained for the energy of formation is -276 kJ/mol of formula units. As for the volume: 21.825 A^3/atom.

Unit cell a=3.542 b=3.542 c=10.439 alpha=90.00 beta=90.00 gamma=90.00
Positions (direct):
Pm: 0.000 0.000 0.329
Pm: 0.000 0.000 0.000
Pm: 0.000 0.000 0.671
Ru: 0.500 0.500 0.831
Ru: 0.500 0.500 0.169
Pt: 0.500 0.500 0.500

***

The following is a DFT calculation (PBE-GGA) of an optimized crystal structure of Pm8Ru2Pt.

Output
The total energy is -66.0 eV per cell. The value obtained for the energy of formation is -328 kJ/mol of formula units. As for the volume: 27.466 A^3/atom.

Unit cell a=5.046 b=6.944 c=9.296 alpha=104.90 beta=105.75 gamma=90.00
Positions (direct):
Ru: 0.812 0.290 0.623
Ru: 0.188 0.710 0.377
Pm: 0.204 0.320 0.407
Pm: 0.670 0.970 0.341
Pm: 0.035 0.785 0.069
Pm: 0.595 0.454 0.189
Pm: 0.796 0.680 0.593
Pm: 0.965 0.215 0.931
Pm: 0.405 0.546 0.811
Pm: 0.330 0.030 0.659
Pt: 0.500 0.000 0.000

***

The following is a DFT calculation (PBE-GGA) of an optimized crystal structure of PmRuPt.

Output
The total energy is -41.4 eV per cell. The value obtained for the energy of formation is -60 kJ/mol of formula units. As for the volume: 21.765 A^3/atom.

Unit cell a=3.849 b=3.849 c=9.224 alpha=102.04 beta=102.04 gamma=90.00
Positions (direct):
Pt: 0.573 0.573 0.146
Pt: 0.427 0.427 0.854
Pm: 0.883 0.883 0.767
Pm: 0.117 0.117 0.233
Ru: 0.268 0.268 0.536
Ru: 0.732 0.732 0.464

***

Repeat the fifth record exactly.
The following is a DFT calculation (PBE-GGA) of an optimized crystal structure of Pm5RuPt4.

Output
The total energy is -66.3 eV per cell. The value obtained for the energy of formation is -880 kJ/mol of formula units. As for the volume: 22.668 A^3/atom.

Unit cell a=3.551 b=3.551 c=17.981 alpha=90.00 beta=90.00 gamma=90.00
Positions (direct):
Pm: 0.500 0.500 0.702
Pm: 0.500 0.500 0.298
Pm: 0.500 0.500 0.500
Pm: 0.500 0.500 0.096
Pm: 0.500 0.500 0.904
Pt: 0.000 0.000 0.801
Pt: 0.000 0.000 0.399
Pt: 0.000 0.000 0.199
Pt: 0.000 0.000 0.601
Ru: 0.000 0.000 0.000